Material: Er9MgIn2
Method: DFT, PBE
State: optimized geometry

Cell lengths 4.8250, 4.8250, 14.4770 Å; angles 90.00, 90.00, 90.00 degrees
Atoms (fractional coordinates):
Er (0.5000, 0.5000, 0.0000)
Er (0.5000, 0.5000, 0.3339)
Er (0.5000, 0.5000, 0.6661)
Er (0.5000, 0.0000, 0.1686)
Er (0.5000, 0.0000, 0.5000)
Er (0.5000, 0.0000, 0.8314)
Er (0.0000, 0.5000, 0.1686)
Er (0.0000, 0.5000, 0.5000)
Er (0.0000, 0.5000, 0.8314)
Mg (0.0000, 0.0000, 0.0000)
In (0.0000, 0.0000, 0.3349)
In (0.0000, 0.0000, 0.6651)

Results
DOS(E_F): 17.80 states/eV/f.u.
Formation energy from the elements: -0.164 eV/atom